Arrangement A

This record from Alexandria describes crystalline YScSe2 at its relaxed geometry. The functional is PBE.

```
YScSe2
1.0
3.880 0.000 0.000
0.000 1.931 6.616
0.000 -1.931 6.616
Y Sc Se
1 1 2
direct
0.000 0.000 0.000
0.500 0.330 0.330
0.000 0.785 0.785
0.500 0.541 0.541
```

Output
The density of states at the Fermi level is 0.51 states/eV per atom. The magnetic moment comes out at 0.00 μB/cell. The value obtained for the calculated volume is 99.14 Å³ per cell.

Arrangement B

This record from Alexandria describes crystalline YScSe2 at its relaxed geometry. The functional is PBE.

```
YScSe2
1.0
1.944 1.122 6.869
-1.944 1.122 6.869
0.000 -2.245 6.869
Y Sc Se
1 1 2
direct
0.000 0.000 0.000
0.176 0.176 0.176
0.581 0.581 0.581
0.760 0.760 0.760
```

Output
The density of states at the Fermi level is 0.29 states/eV per atom. The magnetic moment comes out at 0.00 μB/cell. The value obtained for the calculated volume is 89.91 Å³ per cell.

It comes down to arrangement B, which is 0.134 eV/atom more stable than the next structure.

Arrangement A

This record from Alexandria describes crystalline YScSe2 at its relaxed geometry. The functional is PBE.

```
YScSe2
1.0
3.447 -1.997 0.000
3.447 1.997 0.000
-2.318 0.000 6.489
Y Sc Se
1 1 2
direct
0.000 0.000 0.000
0.500 0.500 0.500
0.244 0.244 0.734
0.756 0.756 0.266
```

Output
The density of states at the Fermi level is 0.55 states/eV per atom. The magnetic moment comes out at 0.00 μB/cell. The value obtained for the calculated volume is 89.32 Å³ per cell.

Arrangement B

This record from Alexandria describes crystalline YScSe2 at its relaxed geometry. The functional is PBE.

```
YScSe2
1.0
3.854 0.000 0.000
-1.927 3.337 0.000
0.000 0.000 7.037
Y Sc Se
1 1 2
direct
0.000 0.000 0.000
0.000 0.000 0.500
0.333 0.667 0.734
0.667 0.333 0.266
```

Output
The density of states at the Fermi level is 0.57 states/eV per atom. The magnetic moment comes out at 0.00 μB/cell. The value obtained for the calculated volume is 90.50 Å³ per cell.

It comes down to arrangement A, which is 0.016 eV/atom more stable than the next structure.

Arrangement A

This record from Alexandria describes crystalline YScSe2 at its relaxed geometry. The functional is PBE.

```
YScSe2
1.0
4.927 0.000 0.000
0.000 4.927 0.000
0.000 0.000 3.490
Y Sc Se
1 1 2
direct
0.000 0.000 0.000
0.500 0.500 0.000
0.000 0.500 0.500
0.500 0.000 0.500
```

Output
The density of states at the Fermi level is 0.49 states/eV per atom. The magnetic moment comes out at 1.28 μB/cell. The value obtained for the calculated volume is 84.72 Å³ per cell.

Arrangement B

This record from Alexandria describes crystalline YScSe2 at its relaxed geometry. The functional is PBE.

```
YScSe2
1.0
1.940 1.120 8.653
-1.940 1.120 8.653
0.000 -2.240 8.653
Y Sc Se
1 1 2
direct
0.000 0.000 0.000
0.500 0.500 0.500
0.108 0.108 0.108
0.892 0.892 0.892
```

Output
The density of states at the Fermi level is 0.39 states/eV per atom. The magnetic moment comes out at 0.00 μB/cell. The value obtained for the calculated volume is 112.79 Å³ per cell.

It comes down to arrangement A, which is 0.103 eV/atom more stable than the next structure.

Arrangement A

This record from Alexandria describes crystalline YScSe2 at its relaxed geometry. The functional is PBE.

```
YScSe2
1.0
-1.852 1.877 6.549
1.852 -1.877 6.549
1.852 1.877 -6.549
Y Sc Se
1 1 2
direct
0.000 0.000 0.000
0.247 0.747 0.500
0.407 0.407 0.000
0.669 0.169 0.500
```

Output
The density of states at the Fermi level is 0.65 states/eV per atom. The magnetic moment comes out at 1.50 μB/cell. The value obtained for the calculated volume is 91.06 Å³ per cell.

Arrangement B

This record from Alexandria describes crystalline YScSe2 at its relaxed geometry. The functional is PBE.

```
YScSe2
1.0
0.000 3.486 3.486
3.486 0.000 3.486
3.486 3.486 0.000
Y Sc Se
1 1 2
direct
0.000 0.000 0.000
0.500 0.500 0.500
0.250 0.250 0.250
0.750 0.750 0.750
```

Output
The density of states at the Fermi level is 0.51 states/eV per atom. The magnetic moment comes out at 1.42 μB/cell. The value obtained for the calculated volume is 84.75 Å³ per cell.

Arrangement C

This record from Alexandria describes crystalline YScSe2 at its relaxed geometry. The functional is PBE.

```
YScSe2
1.0
-3.112 3.112 6.219
3.112 -3.112 6.219
3.112 3.112 -6.219
Y Sc Se
2 2 4
direct
0.000 0.000 0.000
0.750 0.250 0.500
0.250 0.750 0.500
0.500 0.500 0.000
0.145 0.625 0.020
0.375 0.395 0.520
0.605 0.125 0.980
0.875 0.855 0.480
```

Output
The density of states at the Fermi level is 0.73 states/eV per atom. The magnetic moment comes out at 0.00 μB/cell. The value obtained for the calculated volume is 240.85 Å³ per cell.

It comes down to arrangement A, which is 0.195 eV/atom more stable than the next structure.

Arrangement A

This record from Alexandria describes crystalline YScSe2 at its relaxed geometry. The functional is PBE.

```
YScSe2
1.0
0.000 3.554 3.554
3.554 0.000 3.554
3.554 3.554 0.000
Y Sc Se
1 1 2
direct
0.000 0.000 0.000
0.750 0.750 0.750
0.250 0.250 0.250
0.500 0.500 0.500
```

Output
The density of states at the Fermi level is 1.53 states/eV per atom. The magnetic moment comes out at 1.86 μB/cell. The value obtained for the calculated volume is 89.78 Å³ per cell.

Arrangement B

This record from Alexandria describes crystalline YScSe2 at its relaxed geometry. The functional is PBE.

```
YScSe2
1.0
3.999 0.000 0.000
0.000 3.999 0.000
0.000 0.000 5.641
Y Sc Se
1 1 2
direct
0.000 0.000 0.000
0.500 0.500 0.500
0.000 0.000 0.500
0.500 0.500 0.000
```

Output
The density of states at the Fermi level is 0.51 states/eV per atom. The magnetic moment comes out at 0.00 μB/cell. The value obtained for the calculated volume is 90.22 Å³ per cell.

It comes down to arrangement B, which is 1.203 eV/atom more stable than the next structure.

Arrangement A

This record from Alexandria describes crystalline YSc2Se4 at its relaxed geometry. The functional is PBE.

```
YSc2Se4
1.0
1.931 -6.386 0.000
1.931 6.386 0.000
0.000 0.000 13.360
Y Sc Se
2 4 8
direct
0.124 0.876 0.750
0.876 0.124 0.250
0.372 0.628 0.566
0.372 0.628 0.934
0.628 0.372 0.066
0.628 0.372 0.434
0.000 0.000 0.000
0.000 0.000 0.500
0.273 0.727 0.118
0.273 0.727 0.382
0.458 0.542 0.750
0.542 0.458 0.250
0.727 0.273 0.618
0.727 0.273 0.882
```

Output
The density of states at the Fermi level is 0.40 states/eV per atom. The magnetic moment comes out at 0.00 μB/cell. The value obtained for the calculated volume is 329.52 Å³ per cell.

Arrangement B

This record from Alexandria describes crystalline YSc2Se4 at its relaxed geometry. The functional is PBE.

```
YSc2Se4
1.0
6.691 0.000 0.000
0.000 3.923 0.000
-2.117 0.000 6.566
Y Sc Se
1 2 4
direct
0.000 0.000 0.000
0.000 0.500 0.500
0.500 0.000 0.500
0.245 0.000 0.733
0.263 0.500 0.258
0.737 0.500 0.742
0.755 0.000 0.267
```

Output
The density of states at the Fermi level is 0.34 states/eV per atom. The magnetic moment comes out at 0.00 μB/cell. The value obtained for the calculated volume is 172.34 Å³ per cell.

It comes down to arrangement B, which is 0.034 eV/atom more stable than the next structure.